(1)
Entry from the Alexandria database: a geometry-optimized KTaAs structure (PBE).

The calculated volume comes out at 77.6 Å³/f.u. Its magnetic moment is 2.71 μB/f.u. For the energy above the lowest structure with this stoichiometry, the calculation gives 363 kJ/mol of formula units. As for the crystal system: cubic. As for the formation energy: 0.929 eV per atom. The calculation puts the density of states at the Fermi level at 1.23 states/eV/f.u.

It has space group F-43m (No. 216), with a = 6.772 Å, b = 6.772 Å, c = 6.772 Å, α = 90.00°, β = 90.00° and γ = 90.00°. The distinct sites, in fractional coordinates, are K at (0.000, 0.000, 0.000), Ta at (0.000, 0.000, 0.500) and As at (0.250, 0.250, 0.750).

---

(2)
Entry from the Alexandria database: a geometry-optimized KTaAs structure (PBE).

The calculated volume comes out at 85.6 Å³/f.u. Its magnetic moment is 0.00 μB/f.u. For the energy above the lowest structure with this stoichiometry, the calculation gives 0 kJ/mol of formula units. As for the crystal system: tetragonal. As for the formation energy: -0.324 eV per atom. The calculation puts the density of states at the Fermi level at 2.43 states/eV/f.u.

It has space group P4/nmm (No. 129, origin choice 2), with a = 4.057 Å, b = 4.057 Å, c = 10.400 Å, α = 90.00°, β = 90.00° and γ = 90.00°. The distinct sites, in fractional coordinates, are K at (0.250, 0.250, 0.180), Ta at (0.250, 0.750, 0.500) and As at (0.250, 0.250, 0.670).

---

(3)
Entry from the Alexandria database: a geometry-optimized KTa2As structure (PBE).

The calculated volume comes out at 109.9 Å³/f.u. Its magnetic moment is 0.00 μB/f.u. As for the crystal system: tetragonal. As for the formation energy: 0.977 eV per atom. The calculation puts the density of states at the Fermi level at 1.93 states/eV/f.u.

It has space group I-42d (No. 122), with a = 4.806 Å, b = 4.806 Å, c = 19.041 Å, α = 90.00°, β = 90.00° and γ = 90.00°. The distinct sites, in fractional coordinates, are K at (0.000, 0.000, 0.000), Ta at (0.075, 0.250, 0.625) and As at (0.000, 0.000, 0.500).

---

(4)
Entry from the Alexandria database: a geometry-optimized KTaAs structure (PBE).

The calculated volume comes out at 81.5 Å³/f.u. Its magnetic moment is 0.90 μB/f.u. For the energy above the lowest structure with this stoichiometry, the calculation gives 162 kJ/mol of formula units. As for the crystal system: tetragonal. As for the formation energy: 0.234 eV per atom. The calculation puts the density of states at the Fermi level at 2.93 states/eV/f.u.

It has space group I4mm (No. 107), with a = 3.535 Å, b = 3.535 Å, c = 13.041 Å, α = 90.00°, β = 90.00° and γ = 90.00°. The distinct sites, in fractional coordinates, are K at (0.000, 0.000, 0.000), Ta at (0.000, 0.000, 0.725) and As at (0.000, 0.000, 0.279).

---

(5)
Entry from the Alexandria database: a geometry-optimized K3TaAs structure (PBE).

The calculated volume comes out at 250.8 Å³/f.u. Its magnetic moment is 3.00 μB/f.u. For the energy above the lowest structure with this stoichiometry, the calculation gives 0 kJ/mol of formula units. As for the crystal system: cubic. As for the formation energy: 1.193 eV per atom. The calculation puts the density of states at the Fermi level at 9.10 states/eV/f.u.

It has space group Pm-3m (No. 221), with a = 6.306 Å, b = 6.306 Å, c = 6.306 Å, α = 90.00°, β = 90.00° and γ = 90.00°. The distinct sites, in fractional coordinates, are K at (0.000, 0.000, 0.500), Ta at (0.500, 0.500, 0.500) and As at (0.000, 0.000, 0.000).

---

(6)
Entry from the Alexandria database: a geometry-optimized KTa2As structure (PBE).

The calculated volume comes out at 85.7 Å³/f.u. Its magnetic moment is 0.02 μB/f.u. As for the crystal system: orthorhombic. As for the formation energy: 1.188 eV per atom. The calculation puts the density of states at the Fermi level at 5.43 states/eV/f.u.

It has space group Cmmm (No. 65), with a = 5.812 Å, b = 10.498 Å, c = 2.810 Å, α = 90.00°, β = 90.00° and γ = 90.00°. The distinct sites, in fractional coordinates, are K at (0.000, 0.000, 0.000), Ta at (0.250, 0.250, 0.500) and As at (0.000, 0.500, 0.000).

---

(7)
Entry from the Alexandria database: a geometry-optimized KTa3As structure (PBE).

The calculated volume comes out at 102.1 Å³/f.u. Its magnetic moment is 0.00 μB/f.u. For the energy above the lowest structure with this stoichiometry, the calculation gives 801 kJ/mol of formula units. As for the crystal system: cubic. As for the formation energy: 2.972 eV per atom. The calculation puts the density of states at the Fermi level at 3.90 states/eV/f.u.

It has space group Pm-3m (No. 221), with a = 4.674 Å, b = 4.674 Å, c = 4.674 Å, α = 90.00°, β = 90.00° and γ = 90.00°. The distinct sites, in fractional coordinates, are K at (0.000, 0.000, 0.000), Ta at (0.000, 0.000, 0.500) and As at (0.500, 0.500, 0.500).

---

(8)
Entry from the Alexandria database: a geometry-optimized KTa2As structure (PBE).

The calculated volume comes out at 86.2 Å³/f.u. Its magnetic moment is 0.00 μB/f.u. As for the crystal system: trigonal. As for the formation energy: 0.691 eV per atom. The calculation puts the density of states at the Fermi level at 3.12 states/eV/f.u.

It has space group R-3m (No. 166, hexagonal axes), with a = 3.0561 Å, b = 3.0561 Å, c = 31.9892 Å, α = 90.00°, β = 90.00° and γ = 120.00°. The distinct sites, in fractional coordinates, are K at (0.0000, 0.0000, 0.0000), Ta at (0.0000, 0.0000, 0.2318) and As at (0.0000, 0.0000, 0.5000).

---

> What is the magnetic moment in the second record?

0.00 μB/f.u.

---

> The highest magnetic moment belongs to which entry?

K3TaAs